A plane-wave DFT calculation with PBE was carried out for crystalline KSc2Pb at its relaxed geometry.

Properties
* energy of formation from the pure elements: 0.304 eV per atom
* space group: No. 47
* electronic total energy: -4.064 eV/atom

Cell: 3.699 5.426 5.651 Å, 90.00 90.00 90.00°
Sites, in units of the cell vectors:
K: 0.000 0.000 0.000
Sc: 0.000 0.500 0.500
Sc: 0.500 0.500 0.000
Pb: 0.500 0.000 0.500